8
Lattice="7.3757 0.0000 0.0000 0.0000 4.2082 0.0000 -2.4178 0.0000 7.3658" Properties=species:S:1:pos:R:3 comment="PBE K2SrPaS4, relaxed" vol_a3_per_cell=228.6 formation_energy_uncorrected_kj_per_mol_fu=-1292 density_g_cm3=3.81 pbc="T T T"
K 0.0000 0.0000 0.0000
K 3.6879 2.1041 0.0000
Sr -1.2089 2.1041 3.6829
Pa 2.4789 0.0000 3.6829
S 0.2354 0.0000 5.2079
S 1.3846 2.1041 2.1815
S 3.5733 2.1041 5.1843
S 4.7225 0.0000 2.1579



10
Lattice="4.6822 -2.1881 0.0000 4.6822 2.1881 0.0000 -2.0486 0.0000 7.2886" Properties=species:S:1:pos:R:3 comment="PBE V2Mo2W, relaxed" e_form_ev_per_atom=-0.12 e_above_lowest_polymorph_mev_per_atom=0 vol_a3_per_cell=149.3 density_g_cm3=10.62 pbc="T T T"
V -0.2226 0.0000 2.5702
V 0.7977 0.0000 5.4412
V 6.5181 0.0000 1.8474
V 7.5383 0.0000 4.7184
Mo 1.2963 0.0000 0.3695
Mo 2.3559 0.0000 3.2924
Mo 4.9599 0.0000 3.9962
Mo 6.0195 0.0000 6.9191
W 3.8940 0.0000 1.1053
W 3.4218 0.0000 6.1832